[1]
Ca3YTe | Alexandria | PBE | optimized geometry; SG = No. 221; polymorph energy (0 for the lowest one) = 4.17 eV/f.u.
1.0
6.0639 0.0000 0.0000
0.0000 6.0639 0.0000
0.0000 0.0000 6.0639
Ca Y Te
3 1 1
Cartesian
0.0000 0.0000 3.0319 Ca
0.0000 3.0319 0.0000 Ca
3.0319 0.0000 0.0000 Ca
0.0000 0.0000 0.0000 Y
3.0319 3.0319 3.0319 Te

***

[2]
Ca2Y2Te | Alexandria | PBE | optimized geometry; SG = No. 127
1.0
7.9811 0.0000 0.0000
0.0000 7.9811 0.0000
0.0000 0.0000 5.7194
Ca Y Te
4 4 2
Cartesian
1.2383 2.7522 0.0000 Ca
2.7522 6.7428 0.0000 Ca
5.2288 1.2383 0.0000 Ca
6.7428 5.2288 0.0000 Ca
1.2116 5.2022 2.8597 Y
2.7789 1.2116 2.8597 Y
5.2022 6.7694 2.8597 Y
6.7694 2.7789 2.8597 Y
0.0000 0.0000 2.8597 Te
3.9905 3.9905 2.8597 Te

***

[3]
CaZnTe2 | Alexandria | PBE | optimized geometry; SG = No. 139
1.0
-2.4894 2.4894 4.3792
2.4894 -2.4894 4.3792
2.4894 2.4894 -4.3792
Ca Zn Te
1 1 2
Cartesian
0.0000 0.0000 0.0000 Ca
0.0000 0.0000 4.3792 Zn
2.4894 0.0000 2.1896 Te
0.0000 2.4894 2.1896 Te

***

[4]
CaZn3Te | Alexandria | PBE | optimized geometry; SG = No. 221; polymorph energy (0 for the lowest one) = 1.40 eV/f.u.
1.0
5.5767 0.0000 0.0000
0.0000 5.5767 0.0000
0.0000 0.0000 5.5767
Ca Zn Te
1 3 1
Cartesian
0.0000 0.0000 0.0000 Ca
0.0000 0.0000 2.7884 Zn
0.0000 2.7884 0.0000 Zn
2.7884 0.0000 0.0000 Zn
2.7884 2.7884 2.7884 Te

***

Number 1: V 223.0 Å³/cell, E_tot -2.46 eV/atom. Number 2: V 364.3 Å³/cell, E_tot -4.34 eV/atom. Number 3: V 108.6 Å³/cell, E_tot -2.88 eV/atom. Number 4: V 173.4 Å³/cell, E_tot -1.18 eV/atom.